[1]
Crystalline ZrBeSi2 at its relaxed geometry. Source: Alexandria, functional GGA-PBE.

Cell and atoms, written as CIF:
```
data_ZrBeSi2
_space_group_name_H-M_alt 'I m m 2'
_space_group_IT_number 44
_space_group_name_Hall 'I 2 -2'
_cell_length_a 3.6883
_cell_length_b 3.7361
_cell_length_c 8.5244
_cell_angle_alpha 90.00
_cell_angle_beta 90.00
_cell_angle_gamma 90.00
loop_
_atom_site_label
_atom_site_type_symbol
_atom_site_fract_x
_atom_site_fract_y
_atom_site_fract_z
Zr1 Zr 0.0000 0.0000 0.0000
Be1 Be 0.0000 0.5000 0.7490
Si1 Si 0.0000 0.0000 0.4480
Si2 Si 0.0000 0.5000 0.2415
```


[2]
# Zr4BeSi GGA-PBE relaxed
data_Zr4BeSi
_space_group_name_H-M_alt 'F -4 3 m'
_space_group_IT_number 216
_space_group_name_Hall 'F -4 2 3'
_cell_length_a 7.9496
_cell_length_b 7.9496
_cell_length_c 7.9496
_cell_angle_alpha 90.00
_cell_angle_beta 90.00
_cell_angle_gamma 90.00
loop_
_atom_site_label
_atom_site_type_symbol
_atom_site_fract_x
_atom_site_fract_y
_atom_site_fract_z
Zr1 Zr 0.1248 0.1248 0.1248
Be1 Be 0.2500 0.2500 0.7500
Si1 Si 0.0000 0.0000 0.5000
# Energy above the lowest structure with this stoichiometry   101.1 kJ per mole of atoms


no.,DOS at the Fermi energy (states/eV/cell),uncorrected formation energy (eV/f.u.)
1,1.5,-1.2
2,28.5,3.8